(a)
Entry from the Alexandria database: a geometry-optimized Pr2DyHg4 structure (PBE).

Results
As for the density of states at the Fermi level: 5.64 states/eV/cell. The magnetic moment is 0.0000 μB/atom.

a b c (Å): 9.530 9.530 9.530
angles (deg): 31.57 31.57 31.57
Fractional positions:
Pr  0.244  0.244  0.244
Pr  0.756  0.756  0.756
Dy  0.000  0.000  0.000
Hg  0.127  0.127  0.127
Hg  0.370  0.370  0.370
Hg  0.630  0.630  0.630
Hg  0.873  0.873  0.873

(b)
Entry from the Alexandria database: a geometry-optimized Pr2DyHg4 structure (PBE).

Results
As for the density of states at the Fermi level: 6.94 states/eV/cell. The magnetic moment is 0.0000 μB/atom.

a b c (Å): 8.837 8.837 8.837
angles (deg): 142.77 142.77 53.68
Fractional positions:
Pr  0.108  0.108  0.000
Pr  0.892  0.892  0.000
Dy  0.500  0.500  0.000
Hg  0.000  0.500  0.500
Hg  0.309  0.309  0.000
Hg  0.500  0.000  0.500
Hg  0.691  0.691  0.000

Relative energies, eV/atom: (a) 0.000; (b) 0.294.

(a)
Entry from the Alexandria database: a geometry-optimized PrDy4Hg structure (PBE).

Results
As for the density of states at the Fermi level: 8.50 states/eV/cell. The magnetic moment is 0.0008 μB/atom.

a b c (Å): 3.609 3.609 14.030
angles (deg): 90.00 90.00 90.00
Fractional positions:
Pr  0.000  0.000  0.000
Dy  0.000  0.000  0.359
Dy  0.000  0.000  0.641
Dy  0.500  0.500  0.182
Dy  0.500  0.500  0.818
Hg  0.500  0.500  0.500

(b)
Entry from the Alexandria database: a geometry-optimized PrDy4Hg structure (PBE).

Results
As for the density of states at the Fermi level: 16.89 states/eV/cell. The magnetic moment is 0.0000 μB/atom.

a b c (Å): 8.270 8.270 6.369
angles (deg): 100.12 100.12 115.67
Fractional positions:
Pr  0.097  0.903  0.750
Pr  0.903  0.097  0.250
Dy  0.104  0.335  0.870
Dy  0.214  0.588  0.452
Dy  0.335  0.104  0.370
Dy  0.412  0.786  0.048
Dy  0.588  0.214  0.952
Dy  0.665  0.896  0.630
Dy  0.786  0.412  0.548
Dy  0.896  0.665  0.130
Hg  0.499  0.501  0.750
Hg  0.501  0.499  0.250

Relative energies, eV/atom: (a) 0.000; (b) 0.088.

(a)
Entry from the Alexandria database: a geometry-optimized PrDy4Hg2 structure (PBE).

Results
As for the density of states at the Fermi level: 9.90 states/eV/cell. The magnetic moment is 0.0006 μB/atom.

a b c (Å): 10.785 10.785 10.785
angles (deg): 27.03 27.03 27.03
Fractional positions:
Pr  0.000  0.000  0.000
Dy  0.202  0.202  0.202
Dy  0.395  0.395  0.395
Dy  0.605  0.605  0.605
Dy  0.798  0.798  0.798
Hg  0.102  0.102  0.102
Hg  0.898  0.898  0.898

(b)
Entry from the Alexandria database: a geometry-optimized PrDy4Hg2 structure (PBE).

Results
As for the density of states at the Fermi level: 19.02 states/eV/cell. The magnetic moment is 0.0166 μB/atom.

a b c (Å): 9.049 9.049 15.391
angles (deg): 116.59 116.59 22.68
Fractional positions:
Pr  0.041  0.041  0.144
Pr  0.959  0.959  0.856
Dy  0.031  0.031  0.653
Dy  0.176  0.176  0.023
Dy  0.267  0.267  0.276
Dy  0.345  0.345  0.618
Dy  0.655  0.655  0.382
Dy  0.733  0.733  0.724
Dy  0.824  0.824  0.977
Dy  0.969  0.969  0.347
Hg  0.141  0.141  0.541
Hg  0.379  0.379  0.161
Hg  0.621  0.621  0.839
Hg  0.859  0.859  0.459

Relative energies, eV/atom: (a) 0.119; (b) 0.000.

(a)
Entry from the Alexandria database: a geometry-optimized PrDySnHg structure (PBE).

Results
As for the density of states at the Fermi level: 4.37 states/eV/cell. The magnetic moment is 0.0006 μB/atom.

a b c (Å): 4.480 6.256 6.256
angles (deg): 41.77 90.00 90.00
Fractional positions:
Pr  0.000  0.000  0.000
Dy  0.500  0.277  0.277
Sn  0.000  0.725  0.725
Hg  0.500  0.552  0.552

(b)
Entry from the Alexandria database: a geometry-optimized PrDySnHg structure (PBE).

Results
As for the density of states at the Fermi level: 3.78 states/eV/cell. The magnetic moment is 0.0000 μB/atom.

a b c (Å): 5.389 5.389 5.389
angles (deg): 60.00 60.00 60.00
Fractional positions:
Pr  0.000  0.000  0.000
Dy  0.500  0.500  0.500
Sn  0.250  0.250  0.250
Hg  0.750  0.750  0.750

Relative energies, eV/atom: (a) 0.000; (b) 0.005.

(a)
Entry from the Alexandria database: a geometry-optimized PrDyTlHg structure (PBE).

Results
As for the density of states at the Fermi level: 4.23 states/eV/cell. The magnetic moment is 0.1834 μB/atom.

a b c (Å): 5.426 5.426 5.426
angles (deg): 60.00 60.00 60.00
Fractional positions:
Pr  0.000  0.000  0.000
Dy  0.500  0.500  0.500
Tl  0.250  0.250  0.250
Hg  0.750  0.750  0.750

(b)
Entry from the Alexandria database: a geometry-optimized PrDyTlHg structure (PBE).

Results
As for the density of states at the Fermi level: 4.26 states/eV/cell. The magnetic moment is 0.1579 μB/atom.

a b c (Å): 3.812 3.812 7.749
angles (deg): 90.00 90.00 90.00
Fractional positions:
Pr  0.000  0.000  0.000
Dy  0.000  0.000  0.482
Tl  0.500  0.500  0.729
Hg  0.500  0.500  0.265

Relative energies, eV/atom: (a) 0.012; (b) 0.000.

(a)
Entry from the Alexandria database: a geometry-optimized PrDyYHg structure (PBE).

Results
As for the density of states at the Fermi level: 4.95 states/eV/cell. The magnetic moment is 0.0000 μB/atom.

a b c (Å): 3.671 3.671 8.903
angles (deg): 90.00 90.00 90.00
Fractional positions:
Pr  0.000  0.000  0.000
Dy  0.500  0.500  0.284
Y  0.500  0.500  0.712
Hg  0.000  0.000  0.496

(b)
Entry from the Alexandria database: a geometry-optimized PrDyYHg structure (PBE).

Results
As for the density of states at the Fermi level: 5.55 states/eV/cell. The magnetic moment is 0.0009 μB/atom.

a b c (Å): 5.490 5.490 5.490
angles (deg): 60.00 60.00 60.00
Fractional positions:
Pr  0.000  0.000  0.000
Dy  0.750  0.750  0.750
Y  0.500  0.500  0.500
Hg  0.250  0.250  0.250

Relative energies, eV/atom: (a) 0.000; (b) 0.178.

(a)
Entry from the Alexandria database: a geometry-optimized Dy2HgPt structure (PBE).

Results
As for the density of states at the Fermi level: 2.48 states/eV/cell. The magnetic moment is 0.0000 μB/atom.

a b c (Å): 5.092 5.092 5.092
angles (deg): 60.00 60.00 60.00
Fractional positions:
Dy  0.250  0.250  0.250
Dy  0.750  0.750  0.750
Hg  0.000  0.000  0.000
Pt  0.500  0.500  0.500

(b)
Entry from the Alexandria database: a geometry-optimized Dy2HgPt structure (PBE).

Results
As for the density of states at the Fermi level: 3.18 states/eV/cell. The magnetic moment is 0.0000 μB/atom.

a b c (Å): 4.104 4.104 7.759
angles (deg): 105.20 105.20 60.10
Fractional positions:
Dy  0.000  0.000  0.000
Dy  0.196  0.196  0.586
Hg  0.764  0.764  0.292
Pt  0.599  0.599  0.796

(c)
Entry from the Alexandria database: a geometry-optimized Dy2HgPt structure (PBE).

Results
As for the density of states at the Fermi level: 3.15 states/eV/cell. The magnetic moment is 0.0000 μB/atom.

a b c (Å): 7.850 7.850 7.850
angles (deg): 30.07 30.07 30.07
Fractional positions:
Dy  0.236  0.236  0.236
Dy  0.764  0.764  0.764
Hg  0.000  0.000  0.000
Pt  0.500  0.500  0.500

(d)
Entry from the Alexandria database: a geometry-optimized Dy2HgPt structure (PBE).

Results
As for the density of states at the Fermi level: 2.66 states/eV/cell. The magnetic moment is 0.0000 μB/atom.

a b c (Å): 3.577 3.577 7.350
angles (deg): 90.00 90.00 90.00
Fractional positions:
Dy  0.000  0.000  0.226
Dy  0.000  0.000  0.774
Hg  0.500  0.500  0.500
Pt  0.500  0.500  0.000

Relative energies, eV/atom: (a) 0.047; (b) 0.077; (c) 0.068; (d) 0.000.

(a)
Entry from the Alexandria database: a geometry-optimized Dy6Hg3Pt structure (PBE).

Results
As for the density of states at the Fermi level: 15.87 states/eV/cell. The magnetic moment is 0.0000 μB/atom.

a b c (Å): 8.895 11.769 5.116
angles (deg): 90.00 90.00 90.00
Fractional positions:
Dy  0.008  0.242  0.000
Dy  0.156  0.085  0.500
Dy  0.185  0.412  0.500
Dy  0.315  0.912  0.000
Dy  0.344  0.585  0.000
Dy  0.492  0.742  0.500
Dy  0.508  0.258  0.500
Dy  0.656  0.415  0.000
Dy  0.685  0.088  0.000
Dy  0.815  0.588  0.500
Dy  0.844  0.915  0.500
Dy  0.992  0.758  0.000
Hg  0.000  0.500  0.000
Hg  0.157  0.724  0.500
Hg  0.343  0.224  0.000
Hg  0.500  0.000  0.500
Hg  0.657  0.776  0.000
Hg  0.843  0.276  0.500
Pt  0.000  0.000  0.000
Pt  0.500  0.500  0.500

(b)
Entry from the Alexandria database: a geometry-optimized Dy6Hg3Pt structure (PBE).

Results
As for the density of states at the Fermi level: 17.36 states/eV/cell. The magnetic moment is 0.0000 μB/atom.

a b c (Å): 9.678 5.010 11.959
angles (deg): 90.00 113.48 90.00
Fractional positions:
Dy  0.016  0.250  0.398
Dy  0.178  0.750  0.208
Dy  0.234  0.250  0.026
Dy  0.368  0.250  0.653
Dy  0.383  0.750  0.871
Dy  0.409  0.250  0.379
Dy  0.591  0.750  0.621
Dy  0.617  0.250  0.129
Dy  0.632  0.750  0.347
Dy  0.766  0.750  0.974
Dy  0.822  0.250  0.792
Dy  0.984  0.750  0.602
Hg  0.030  0.750  0.878
Hg  0.126  0.250  0.746
Hg  0.245  0.750  0.486
Hg  0.755  0.250  0.514
Hg  0.874  0.750  0.254
Hg  0.970  0.250  0.122
Pt  0.407  0.750  0.114
Pt  0.593  0.250  0.886

Relative energies, eV/atom: (a) 0.018; (b) 0.000.

(a)
Entry from the Alexandria database: a geometry-optimized Dy6Hg2Pt structure (PBE).

Results
As for the density of states at the Fermi level: 14.06 states/eV/cell. The magnetic moment is 0.0000 μB/atom.

a b c (Å): 8.594 8.594 8.594
angles (deg): 111.09 110.01 107.34
Fractional positions:
Dy  0.076  0.247  0.830
Dy  0.230  0.561  0.330
Dy  0.230  0.900  0.670
Dy  0.316  0.237  0.552
Dy  0.316  0.763  0.079
Dy  0.417  0.247  0.170
Dy  0.583  0.753  0.830
Dy  0.684  0.237  0.921
Dy  0.684  0.763  0.448
Dy  0.770  0.100  0.330
Dy  0.770  0.439  0.670
Dy  0.924  0.753  0.170
Hg  0.000  0.144  0.144
Hg  0.000  0.856  0.856
Hg  0.147  0.500  0.647
Hg  0.853  0.500  0.353
Pt  0.500  0.000  0.500
Pt  0.500  0.500  0.000

(b)
Entry from the Alexandria database: a geometry-optimized Dy6Hg2Pt structure (PBE).

Results
As for the density of states at the Fermi level: 17.65 states/eV/cell. The magnetic moment is 0.0000 μB/atom.

a b c (Å): 6.869 7.459 12.315
angles (deg): 90.00 123.50 90.00
Fractional positions:
Dy  0.114  0.197  0.447
Dy  0.114  0.303  0.947
Dy  0.259  0.681  0.443
Dy  0.259  0.819  0.943
Dy  0.369  0.018  0.242
Dy  0.369  0.482  0.742
Dy  0.631  0.518  0.258
Dy  0.631  0.982  0.758
Dy  0.741  0.181  0.057
Dy  0.741  0.319  0.557
Dy  0.886  0.697  0.053
Dy  0.886  0.803  0.553
Hg  0.197  0.100  0.746
Hg  0.197  0.400  0.246
Hg  0.803  0.600  0.754
Hg  0.803  0.900  0.254
Pt  0.500  0.000  0.500
Pt  0.500  0.500  0.000

Relative energies, eV/atom: (a) 0.000; (b) 0.015.

(a)
Entry from the Alexandria database: a geometry-optimized DyPuHg structure (PBE).

Results
As for the density of states at the Fermi level: 7.54 states/eV/cell. The magnetic moment is 2.1574 μB/atom.

a b c (Å): 7.072 7.072 7.072
angles (deg): 151.10 151.10 41.34
Fractional positions:
Dy  0.000  0.000  0.000
Pu  0.688  0.688  0.000
Hg  0.352  0.352  0.000

(b)
Entry from the Alexandria database: a geometry-optimized DyPuHg structure (PBE).

Results
As for the density of states at the Fermi level: 8.13 states/eV/cell. The magnetic moment is 2.0242 μB/atom.

a b c (Å): 5.249 5.249 3.360
angles (deg): 90.00 90.00 120.00
Fractional positions:
Dy  0.000  0.000  0.000
Pu  0.667  0.333  0.582
Hg  0.333  0.667  0.276

Relative energies, eV/atom: (a) 0.000; (b) 0.093.

(a)
Entry from the Alexandria database: a geometry-optimized DyPu2Hg structure (PBE).

Results
As for the density of states at the Fermi level: 13.16 states/eV/cell. The magnetic moment is 3.2557 μB/atom.

a b c (Å): 4.133 4.133 6.441
angles (deg): 90.00 90.00 90.00
Fractional positions:
Dy  0.000  0.000  0.000
Pu  0.500  0.500  0.267
Pu  0.500  0.500  0.733
Hg  0.000  0.000  0.500

(b)
Entry from the Alexandria database: a geometry-optimized DyPu2Hg structure (PBE).

Results
As for the density of states at the Fermi level: 11.20 states/eV/cell. The magnetic moment is 3.1096 μB/atom.

a b c (Å): 4.441 4.441 5.286
angles (deg): 90.00 90.00 90.00
Fractional positions:
Dy  0.000  0.000  0.000
Pu  0.000  0.500  0.500
Pu  0.500  0.000  0.500
Hg  0.500  0.500  0.000

Relative energies, eV/atom: (a) 0.106; (b) 0.000.